First-principles (GGA-PBE) data for an optimized crystal structure of RbTl15In4, as listed in Alexandria via LeMat-Bulk.

Cell and atoms, written as POSCAR:
```
RbTl15In4
1.0
5.419 0.000 0.000
0.000 5.419 0.000
0.000 0.000 21.135
Rb Tl In
1 15 4
Direct
0.000 0.000 0.000
0.000 0.500 0.117
0.000 0.500 0.307
0.000 0.500 0.500
0.000 0.500 0.693
0.000 0.500 0.883
0.500 0.000 0.117
0.500 0.000 0.307
0.500 0.000 0.500
0.500 0.000 0.693
0.500 0.000 0.883
0.500 0.500 0.000
0.500 0.500 0.212
0.500 0.500 0.402
0.500 0.500 0.598
0.500 0.500 0.788
0.000 0.000 0.208
0.000 0.000 0.403
0.000 0.000 0.597
0.000 0.000 0.792
```

Values from the calculation:
V: 31.032 Å³/atom
Energy: -2.36 eV/atom
Formation enthalpy at 0 K: 18 kJ/mol of formula units